Compound: LiRhAu2
Source: the Alexandria database
Functional: PBEsol
Structure: optimized geometry

Properties
**Raw total energy**: -4.726 eV/atom
**ΔE_f**: -0.238 eV per atom

Cell lengths 2.7802, 4.6493, 4.6525 Å; angles 90.00, 90.00, 90.00 degrees
Closest atoms and distances in Å follow each position.
Space group Pmm2 (No. 25)
Inequivalent atoms, fractional coordinates:
Li  0.0000  0.0000  0.0000 (multiplicity 1)  8 Au 2.70-2.72, 2 Li 2.78
Rh  0.0000  0.5000  0.5185 (multiplicity 1)  8 Au 2.71, 2 Rh 2.78
Au  0.5000  0.0000  0.5029 (multiplicity 1)  4 Li 2.70-2.72, 4 Rh 2.71, 2 Au 2.78
Au  0.5000  0.5000  0.0193 (multiplicity 1)  4 Rh 2.71, 4 Li 2.71, 2 Au 2.78

Compound: Co2MoRh
Source: the Alexandria database
Functional: PBEsol
Structure: optimized geometry

Properties
**Raw total energy**: -8.808 eV/atom
**ΔE_f**: 0.037 eV per atom
**Offset from the most stable computed form**: 112 meV per atom

Cell lengths 5.1863, 7.1632, 2.6092 Å; angles 90.00, 90.00, 90.00 degrees
Closest atoms and distances in Å follow each position.
Space group Cmmm (No. 65)
Inequivalent atoms, fractional coordinates:
Co  0.2500  0.2500  0.0000 (multiplicity 4)  4 Mo 2.57, 4 Rh 2.57, 4 Co 2.59-2.61
Mo  0.0000  0.0000  0.5000 (multiplicity 2)  8 Co 2.57, 2 Rh 2.59, 2 Mo 2.61
Rh  0.0000  0.5000  0.5000 (multiplicity 2)  8 Co 2.57, 2 Mo 2.59, 2 Rh 2.61

Compound: Li3VSiBO7
Source: the Alexandria database
Functional: PBEsol
Structure: optimized geometry

Properties
**Raw total energy**: -7.386 eV/atom
**Formation energy without anion corrections**: -2383 meV per atom

Cell lengths 5.0646, 6.2559, 8.2334 Å; angles 90.00, 95.84, 90.00 degrees
Closest atoms and distances in Å follow each position.
Space group P2_1/m (No. 11)
Inequivalent atoms, fractional coordinates:
Li  0.2342  0.2500  0.1014 (multiplicity 2)  4 O 1.94-2.12
Li  0.2625  0.0031  0.7529 (multiplicity 4)  3 O 1.95-2.10
V  0.2046  0.7500  0.3144 (multiplicity 2)  6 O 1.88-2.02
Si  0.2724  0.2500  0.4270 (multiplicity 2)  4 O 1.62-1.64
B  0.2981  0.7500  0.0338 (multiplicity 2)  3 O 1.35-1.41
O  0.0407  0.7500  0.0809 (multiplicity 2)  1 B 1.40
O  0.1269  0.2500  0.5935 (multiplicity 2)  1 Si 1.62
O  0.1839  0.0505  0.3041 (multiplicity 4)  1 Si 1.64
O  0.3693  0.7500  0.8807 (multiplicity 2)  1 B 1.35
O  0.4067  0.7500  0.5214 (multiplicity 2)  1 Si 1.64
O  0.4870  0.7500  0.1723 (multiplicity 2)  1 B 1.41

Compound: Li2InW
Source: the Alexandria database
Functional: PBEsol
Structure: optimized geometry

Properties
**Raw total energy**: -4.800 eV/atom
**ΔE_f**: 0.381 eV per atom

Cell lengths 2.7376, 4.8510, 5.0736 Å; angles 90.00, 92.58, 90.00 degrees
Closest atoms and distances in Å follow each position.
Space group P2/m (No. 10)
Inequivalent atoms, fractional coordinates:
Li  0.1878  0.0000  0.2189 (multiplicity 2)  1 Li 2.41
In  0.0000  0.5000  0.5000 (multiplicity 1)  2 In 2.74, 4 W 2.83-2.94, 4 Li 2.87
W  0.5000  0.5000  0.0000 (multiplicity 1)  2 W 2.74, 4 Li 2.82, 4 In 2.83-2.94

Compound: LiCrSe2Br
Source: the Alexandria database
Functional: PBEsol
Structure: optimized geometry

Properties
**Raw total energy**: -4.076 eV/atom
**Formation energy without anion corrections**: 280 meV per atom

Cell lengths 4.5323, 4.5323, 5.0581 Å; angles 90.00, 90.00, 90.00 degrees
Closest atoms and distances in Å follow each position.
Space group P4/mmm (No. 123)
Inequivalent atoms, fractional coordinates:
Li  0.0000  0.0000  0.0000 (multiplicity 1)  4 Se 2.27, 2 Br 2.53
Cr  0.5000  0.5000  0.5000 (multiplicity 1)  4 Br 3.20, 8 Se 3.40
Se  0.0000  0.5000  0.0000 (multiplicity 2)  2 Li 2.27
Br  0.0000  0.0000  0.5000 (multiplicity 1)  2 Li 2.53

Compound: Hg2PtW2
Source: the Alexandria database
Functional: PBEsol
Structure: optimized geometry

Properties
**Raw total energy**: -6.139 eV/atom
**ΔE_f**: 1.004 eV per atom

Cell lengths 3.7066, 3.7066, 13.8769 Å; angles 90.00, 90.00, 90.00 degrees
Closest atoms and distances in Å follow each position.
Space group I4/mmm (No. 139)
Inequivalent atoms, fractional coordinates:
Hg  0.0000  0.5000  0.2500 (multiplicity 4)  4 Hg 2.62
Pt  0.0000  0.0000  0.0000 (multiplicity 2)  8 W 2.86
W  0.0000  0.0000  0.4168 (multiplicity 4)  1 W 2.31

Compound: CrAsW
Source: the Alexandria database
Functional: PBEsol
Structure: optimized geometry

Properties
**Raw total energy**: -9.512 eV/atom
**ΔE_f**: 0.206 eV per atom
**Offset from the most stable computed form**: 0 meV per atom

Cell lengths 4.1322, 4.1322, 2.8008 Å; angles 90.00, 90.00, 120.00 degrees
Closest atoms and distances in Å follow each position.
Space group P3m1 (No. 156)
Inequivalent atoms, fractional coordinates:
Cr  0.0000  0.0000  0.0000 (multiplicity 1)  3 As 2.39, 3 W 2.66
As  0.3333  0.6667  0.9707 (multiplicity 1)  3 Cr 2.39
W  0.6667  0.3333  0.4207 (multiplicity 1)  6 Cr 2.66-2.89, 6 As 2.70-2.84, 2 W 2.80

Compound: TaMnO4
Source: the Alexandria database
Functional: PBEsol
Structure: optimized geometry

Properties
**Raw total energy**: -9.517 eV/atom
**Formation energy without anion corrections**: -2299 meV per atom

Cell lengths 4.6055, 5.6178, 4.9759 Å; angles 90.00, 90.61, 90.00 degrees
Closest atoms and distances in Å follow each position.
Space group P2/c (No. 13)
Inequivalent atoms, fractional coordinates:
Ta  0.0000  0.1716  0.2500 (multiplicity 2)  6 O 1.93-2.09
Mn  0.5000  0.3428  0.7500 (multiplicity 2)  6 O 1.93-2.07
O  0.2264  0.1148  0.9204 (multiplicity 4)  2 Ta 1.98-2.09, 1 Mn 1.99
O  0.2730  0.3814  0.4256 (multiplicity 4)  2 Mn 1.93-2.07, 1 Ta 1.93

Compound: Sc3SbF
Source: the Alexandria database
Functional: PBEsol
Structure: optimized geometry

Properties
**Raw total energy**: -5.172 eV/atom
**Formation energy without anion corrections**: 88 meV per atom

Cell lengths 5.3833, 5.3833, 5.3833 Å; angles 90.00, 90.00, 90.00 degrees
Closest atoms and distances in Å follow each position.
Space group Pm-3m (No. 221)
Inequivalent atoms, fractional coordinates:
Sc  0.0000  0.0000  0.5000 (multiplicity 3)  2 Sb 2.69
Sb  0.0000  0.0000  0.0000 (multiplicity 1)  6 Sc 2.69
F  0.5000  0.5000  0.5000 (multiplicity 1)  12 Sc 3.81

Compound: CrIn2As
Source: the Alexandria database
Functional: PBEsol
Structure: optimized geometry

Properties
**Raw total energy**: -4.986 eV/atom
**ΔE_f**: 0.343 eV per atom

Cell lengths 5.9204, 8.4409, 3.1504 Å; angles 90.00, 90.00, 90.00 degrees
Closest atoms and distances in Å follow each position.
Space group Cmmm (No. 65)
Inequivalent atoms, fractional coordinates:
Cr  0.0000  0.0000  0.0000 (multiplicity 2)  2 As 2.96, 8 In 3.02, 2 Cr 3.15
In  0.2500  0.2500  0.5000 (multiplicity 4)  4 In 2.96-3.15, 4 Cr 3.02, 4 As 3.02
As  0.0000  0.5000  0.0000 (multiplicity 2)  2 Cr 2.96, 8 In 3.02, 2 As 3.15

Compound: ReNi2Te
Source: the Alexandria database
Functional: PBEsol
Structure: optimized geometry

Properties
**Raw total energy**: -6.771 eV/atom
**Formation energy without anion corrections**: 522 meV per atom

Cell lengths 3.0765, 4.3629, 8.4048 Å; angles 90.00, 90.00, 90.00 degrees
Closest atoms and distances in Å follow each position.
Space group Immm (No. 71)
Inequivalent atoms, fractional coordinates:
Re  0.0000  0.0000  0.0000 (multiplicity 2)  4 Te 2.67, 8 Ni 2.68-2.97
Ni  0.0000  0.5000  0.2395 (multiplicity 4)  2 Te 2.53, 4 Ni 2.68, 2 Re 2.68
Te  0.0000  0.0000  0.5000 (multiplicity 2)  4 Ni 2.53, 4 Re 2.67

Compound: KMg2Mo
Source: the Alexandria database
Functional: PBEsol
Structure: optimized geometry

Properties
**Raw total energy**: -2.946 eV/atom
**ΔE_f**: 1.138 eV per atom

Cell lengths 7.2915, 7.2915, 7.2915 Å; angles 90.00, 90.00, 90.00 degrees
Closest atoms and distances in Å follow each position.
Space group F-43m (No. 216)
Inequivalent atoms, fractional coordinates:
K  0.0000  0.0000  0.0000 (multiplicity 4)  4 Mo 3.16, 4 Mg 3.16
Mg  0.0000  0.0000  0.5000 (multiplicity 4)  4 Mo 3.16, 4 Mg 3.16
Mg  0.2500  0.2500  0.7500 (multiplicity 4)  4 K 3.16, 4 Mg 3.16
Mo  0.2500  0.2500  0.2500 (multiplicity 4)  4 K 3.16, 4 Mg 3.16

Q: Which of these has the highest raw total energy?
A: KMg2Mo

Q: Which of these has the lowest raw total energy?
A: TaMnO4

Q: Which of these has the lowest raw total energy?
A: TaMnO4